Record 1
6
Lattice="2.825 0.000 0.000 0.000 6.658 2.281 0.000 -6.658 2.281" Properties=species:S:1:pos:R:3 comment="ZnRe | Alexandria | PBE | optimized geometry" sg="Amm2, No. 38" e_above_lowest_polymorph_ev_per_atom=0.289 ef_ev_per_atom=0.31 e_tot_ev_per_atom=-6.555 pbc="T T T"
Zn 0.000 0.000 0.000
Zn 1.412 -4.549 2.784
Zn 1.412 4.549 2.784
Re 0.000 -2.289 2.774
Re 0.000 2.289 2.774
Re 1.412 0.000 2.298

---

Record 2
4
Lattice="4.347 2.510 0.887 -4.347 2.510 0.887 0.000 -5.020 0.887" Properties=species:S:1:pos:R:3 comment="Zn3Re | Alexandria | PBE | optimized geometry" sg="R-3m, No. 166" e_above_lowest_polymorph_ev_per_atom=0.068 ef_ev_per_atom=0.16 e_tot_ev_per_atom=-3.903 pbc="T T T"
Zn -2.174 -1.255 0.887
Zn -2.174 1.255 1.774
Zn 0.000 2.510 0.887
Re 0.000 0.000 0.000

---

Record 3
9
Lattice="-4.533 4.533 1.607 4.533 -4.533 1.607 4.533 4.533 -1.607" Properties=species:S:1:pos:R:3 comment="Zn4Re5 | Alexandria | PBE | optimized geometry" sg="I4/mmm, No. 139" ef_ev_per_atom=0.32 e_tot_ev_per_atom=-7.162 pbc="T T T"
Zn 3.041 0.000 0.000
Zn 6.025 0.000 0.000
Zn 0.000 3.041 0.000
Zn 0.000 6.025 0.000
Re 0.000 0.000 0.000
Re 2.981 2.981 0.000
Re 1.552 -1.552 1.607
Re -1.552 1.552 1.607
Re 1.552 1.552 1.607

---

Record 4
6
Lattice="1.399 -7.104 0.000 1.399 7.104 0.000 0.000 0.000 4.395" Properties=species:S:1:pos:R:3 comment="ZnRe2 | Alexandria | PBE | optimized geometry" sg="Cmcm, No. 63" e_above_lowest_polymorph_ev_per_atom=0.078 ef_ev_per_atom=0.15 e_tot_ev_per_atom=-8.570 pbc="T T T"
Zn 1.399 5.505 3.296
Zn 1.399 -5.505 1.099
Re 1.399 4.021 1.099
Re 1.399 0.756 3.296
Re 1.399 -0.756 1.099
Re 1.399 -4.021 3.296

---

Record 5
5
Lattice="-2.022 2.022 5.557 2.022 -2.022 5.557 2.022 2.022 -5.557" Properties=species:S:1:pos:R:3 comment="ZnRe4 | Alexandria | PBE | optimized geometry" sg="I4/mmm, No. 139" e_above_lowest_polymorph_ev_per_atom=0.424 ef_ev_per_atom=0.60 e_tot_ev_per_atom=-9.613 pbc="T T T"
Zn 0.000 0.000 0.000
Re 2.022 0.000 2.778
Re 0.000 0.000 4.294
Re 0.000 0.000 6.819
Re 0.000 2.022 2.778

---

Record 6
6
Lattice="5.146 -1.397 0.000 5.146 1.397 0.000 -1.465 0.000 6.146" Properties=species:S:1:pos:R:3 comment="Zn2Re | Alexandria | PBE | optimized geometry" sg="C2/m, No. 12" e_above_lowest_polymorph_ev_per_atom=0.061 ef_ev_per_atom=0.22 e_tot_ev_per_atom=-4.782 pbc="T T T"
Zn 1.330 0.000 0.131
Zn 1.153 0.000 3.961
Zn 7.674 0.000 2.184
Zn 7.498 0.000 6.014
Re 3.891 0.000 4.157
Re 4.936 0.000 1.988